No. 1
DFT (PBE-GGA) results for a relaxed SnRhI crystal.

Cell and atoms, written as extended XYZ:
```
6
Lattice="5.9286 -1.9748 1.1735 1.3058 3.5256 -0.6577 2.9164 -3.7543 7.8201" Properties=species:S:1:pos:R:3 pbc="T T T"
Sn 5.5154 -0.0131 5.3482
Sn 4.6352 -2.1904 2.9877
Rh 2.0006 2.3238 -0.1844
Rh 8.1500 -4.5272 8.5203
I 7.7104 -2.6548 6.6108
I 2.4402 0.4513 1.7251
```

* energy relative to the elements, uncorrected: -0.114 eV/atom
* magnetization: 0.00 μB/f.u.
* uncorrected energy: -0.162 Ha/atom

---

No. 2
DFT (PBE-GGA) results for a relaxed SnRh3I crystal.

Cell and atoms, written as extended XYZ:
```
5
Lattice="4.8766 0.0000 0.0000 0.0000 4.8766 0.0000 0.0000 0.0000 4.8766" Properties=species:S:1:pos:R:3 pbc="T T T"
Rh 0.0000 2.4383 0.0000
Rh 0.0000 0.0000 2.4383
Rh 2.4383 0.0000 0.0000
Sn 2.4383 2.4383 2.4383
I 0.0000 0.0000 0.0000
```

* energy relative to the elements, uncorrected: 0.903 eV/atom
* energy relative to the lowest polymorph listed for this composition: 0 kJ/mol of formula units
* magnetization: 0.89 μB/f.u.
* uncorrected energy: -0.170 Ha/atom

---

No. 3
DFT (PBE-GGA) results for a relaxed SnRhI3 crystal.

Cell and atoms, written as extended XYZ:
```
5
Lattice="5.4045 0.0000 0.0000 0.0000 5.4045 0.0000 0.0000 0.0000 5.4045" Properties=species:S:1:pos:R:3 pbc="T T T"
I 2.7023 0.0000 0.0000
I 0.0000 2.7023 0.0000
I 0.0000 0.0000 2.7023
Sn 2.7023 2.7023 2.7023
Rh 0.0000 0.0000 0.0000
```

* energy relative to the elements, uncorrected: 0.062 eV/atom
* energy relative to the lowest polymorph listed for this composition: 0 kJ/mol of formula units
* magnetization: 0.00 μB/f.u.
* uncorrected energy: -0.115 Ha/atom

---

No. 4
DFT (PBE-GGA) results for a relaxed SnTeRhI2 crystal.

Cell and atoms, written as extended XYZ:
```
5
Lattice="-2.1726 -4.5263 -1.8648 1.1115 -2.4431 4.6348 -4.7857 1.4988 1.9377" Properties=species:S:1:pos:R:3 pbc="T T T"
Rh 0.0000 0.0000 0.0000
I -1.0863 -2.2631 -0.9324
I 0.5557 -1.2215 2.3174
Te -2.3928 0.7494 0.9689
Sn -2.9234 -2.7353 2.3538
```

* energy relative to the elements, uncorrected: 0.113 eV/atom
* energy relative to the lowest polymorph listed for this composition: 0 kJ/mol of formula units
* magnetization: 0.00 μB/f.u.
* uncorrected energy: -0.125 Ha/atom

---

No. 5
DFT (PBE-GGA) results for a relaxed Sn2TeRhI crystal.

Cell and atoms, written as extended XYZ:
```
5
Lattice="6.0305 0.0000 0.0000 0.0000 4.8417 0.0000 0.0000 0.0000 6.0305" Properties=species:S:1:pos:R:3 pbc="T T T"
Rh 0.0000 2.4209 0.0000
Sn 3.0153 0.0000 0.0000
Sn 0.0000 0.0000 3.0153
Te 0.0000 0.0000 0.0000
I 3.0153 2.4209 3.0153
```

* energy relative to the elements, uncorrected: 0.457 eV/atom
* magnetization: 0.00 μB/f.u.
* uncorrected energy: -0.131 Ha/atom

---

No. 6
DFT (PBE-GGA) results for a relaxed SnTeRh2I crystal.

Cell and atoms, written as extended XYZ:
```
5
Lattice="4.8543 0.0000 0.0000 0.0000 6.0885 0.0000 0.0000 0.0000 4.8543" Properties=species:S:1:pos:R:3 pbc="T T T"
Sn 2.4272 3.0442 2.4272
Te 0.0000 3.0442 0.0000
Rh 2.4272 0.0000 0.0000
Rh 0.0000 0.0000 2.4272
I 0.0000 0.0000 0.0000
```

* energy relative to the elements, uncorrected: 0.912 eV/atom
* magnetization: 0.00 μB/f.u.
* uncorrected energy: -0.138 Ha/atom

---

No. 7
DFT (PBE-GGA) results for a relaxed Tl2SnRhI crystal.

Cell and atoms, written as extended XYZ:
```
5
Lattice="-1.4227 4.5641 2.5463 -1.1364 -2.8459 4.4663 4.8322 0.6052 1.6151" Properties=species:S:1:pos:R:3 pbc="T T T"
Tl -0.7113 2.2821 1.2731
Tl -0.5682 -1.4230 2.2332
Rh 0.0000 0.0000 0.0000
I 1.1366 1.1617 4.3139
Sn 2.4161 0.3026 0.8076
```

* energy relative to the elements, uncorrected: -0.279 eV/atom
* magnetization: 0.00 μB/f.u.
* uncorrected energy: -0.140 Ha/atom

---

No. 8
DFT (PBE-GGA) results for a relaxed YSnRh2I crystal.

Cell and atoms, written as extended XYZ:
```
5
Lattice="5.0236 0.0000 0.0000 0.0000 5.7580 0.0000 0.0000 0.0000 5.0236" Properties=species:S:1:pos:R:3 pbc="T T T"
Y 0.0000 0.0000 0.0000
Sn 2.5118 2.8790 2.5118
Rh 2.5118 0.0000 0.0000
Rh 0.0000 0.0000 2.5118
I 0.0000 2.8790 0.0000
```

* energy relative to the elements, uncorrected: 0.623 eV/atom
* magnetization: 0.00 μB/f.u.
* uncorrected energy: -0.173 Ha/atom

---

No. 9
DFT (PBE-GGA) results for a relaxed YSn2RhI crystal.

Cell and atoms, written as extended XYZ:
```
5
Lattice="5.0888 0.0000 0.0000 0.0000 5.5902 0.0000 0.0000 0.0000 5.0888" Properties=species:S:1:pos:R:3 pbc="T T T"
Sn 2.5444 0.0000 0.0000
Sn 0.0000 0.0000 2.5444
I 0.0000 2.7951 0.0000
Y 2.5444 2.7951 2.5444
Rh 0.0000 0.0000 0.0000
```

* energy relative to the elements, uncorrected: 0.022 eV/atom
* magnetization: 0.00 μB/f.u.
* uncorrected energy: -0.171 Ha/atom

---

No. 10
DFT (PBE-GGA) results for a relaxed ZrSnRh2I crystal.

Cell and atoms, written as extended XYZ:
```
5
Lattice="-3.9330 0.7348 2.5942 -3.2269 -1.6833 -4.4155 0.1962 -4.4979 1.5713" Properties=species:S:1:pos:R:3 pbc="T T T"
I 0.0000 0.0000 0.0000
Rh 0.0981 -2.2489 0.7857
Rh -1.9665 0.3674 1.2971
Sn -1.6135 -0.8416 -2.2077
Zr -3.4819 -2.7232 -0.1249
```

* energy relative to the elements, uncorrected: 1.027 eV/atom
* magnetization: 0.00 μB/f.u.
* uncorrected energy: -0.174 Ha/atom

---

No. 11
DFT (PBE-GGA) results for a relaxed Sr6Rh2I crystal.

Cell and atoms, written as extended XYZ:
```
9
Lattice="-2.5297 -4.6155 -1.0312 4.4681 1.2695 -2.6955 7.7575 -6.4425 9.8054" Properties=species:S:1:pos:R:3 pbc="T T T"
Sr 9.3314 -6.6673 6.9506
Sr 0.3645 -3.1212 -0.8719
Sr 4.8946 -2.9868 1.3611
Sr 4.8012 -6.8017 4.7176
Sr 3.4235 -4.5816 -1.8396
Sr 6.2724 -5.2069 7.9183
Rh 3.2984 -1.6600 -0.6615
Rh 6.3975 -8.1285 6.7402
I 3.8787 -3.2212 4.9027
```

* energy relative to the elements, uncorrected: -0.319 eV/atom
* magnetization: 0.00 μB/f.u.
* uncorrected energy: -0.119 Ha/atom

---

No. 12
DFT (PBE-GGA) results for a relaxed SrRhI crystal.

Cell and atoms, written as extended XYZ:
```
3
Lattice="0.4620 -1.1779 4.6786 -0.6321 3.3733 3.4221 -3.9110 -0.1511 2.8585" Properties=species:S:1:pos:R:3 pbc="T T T"
Rh -2.0406 1.0222 5.4796
Sr -3.0609 1.5333 8.2194
I -1.0203 0.5111 2.7398
```

* energy relative to the elements, uncorrected: -0.425 eV/atom
* magnetization: 0.00 μB/f.u.
* uncorrected energy: -0.145 Ha/atom

---

Question: The lowest uncorrected energy belongs to which entry?
Answer: ZrSnRh2I

---

Question: The lowest energy relative to the elements, uncorrected belongs to which entry?
Answer: SrRhI

---

Question: What is the magnetization in the eleventh record?
Answer: 0.00 μB/f.u.

---

Question: Which value of energy relative to the elements, uncorrected does entry 3 give?
Answer: 0.062 eV/atom